A relaxed Hg3MoF6 crystal, computed with PBE+U.

Properties
electronic total energy	-3.63	eV/atom

Cell lengths 5.3102, 5.3102, 7.5689 Å; angles 90.00, 90.00, 120.00 degrees
Closest atoms and distances in Å follow each position.
Space group P-31m (No. 162)
Unique sites:
1 Hg 0.0000 0.0000 0.0000  6 Hg 3.07, 6 F 3.10
2 Hg 0.3333 0.6667 0.0000  6 Hg 3.07, 6 F 3.26
3 Mo 0.0000 0.0000 0.5000  6 F 1.93
4 F 0.0000 0.2967 0.3527  1 Mo 1.93